! TbHo5Tl4, relaxed, DFT PBE-GGA; values from VASP
! Uncorrected energy (eV per atom): -3.96
&SYSTEM
  ibrav = 0, nat = 10, ntyp = 3
/
ATOMIC_SPECIES
Tb 158.93 Tb.upf
Ho 164.93 Ho.upf
Tl 204.38 Tl.upf
CELL_PARAMETERS angstrom
3.6081 0.0000 0.0000
0.0000 3.6081 0.0000
0.0000 0.0000 21.5987
ATOMIC_POSITIONS crystal
Tb 0.0000 0.0000 0.0000
Ho 0.5000 0.5000 0.1139
Ho 0.5000 0.5000 0.3061
Ho 0.5000 0.5000 0.5000
Ho 0.5000 0.5000 0.6939
Ho 0.5000 0.5000 0.8861
Tl 0.0000 0.0000 0.2101
Tl 0.0000 0.0000 0.4034
Tl 0.0000 0.0000 0.5966
Tl 0.0000 0.0000 0.7899

! VGe2PtC, relaxed, DFT PBE-GGA; values from VASP
! Uncorrected energy (eV per atom): -5.46
&SYSTEM
  ibrav = 0, nat = 5, ntyp = 4
/
ATOMIC_SPECIES
V 50.94 V.upf
Ge 72.64 Ge.upf
Pt 195.08 Pt.upf
C 12.01 C.upf
CELL_PARAMETERS angstrom
5.0818 0.0000 0.0000
0.0000 5.0818 0.0000
0.0000 0.0000 3.7260
ATOMIC_POSITIONS crystal
V 0.0000 0.0000 0.0000
Ge 0.0000 0.5000 0.5000
Ge 0.5000 0.0000 0.5000
Pt 0.5000 0.5000 0.5000
C 0.5000 0.5000 0.0000

! Mg2CdInAg5, relaxed, DFT PBE-GGA; values from VASP
! Uncorrected energy (eV per atom): -2.25
&SYSTEM
  ibrav = 0, nat = 18, ntyp = 4
/
ATOMIC_SPECIES
Mg 24.30 Mg.upf
Cd 112.41 Cd.upf
In 114.82 In.upf
Ag 107.87 Ag.upf
CELL_PARAMETERS angstrom
-4.0646 4.0646 5.7306
4.0646 -4.0646 5.7306
4.0646 4.0646 -5.7306
ATOMIC_POSITIONS crystal
Mg 0.1153 0.6153 0.7306
Mg 0.3847 0.1153 0.5000
Mg 0.6153 0.8847 0.5000
Mg 0.8847 0.3847 0.2694
Cd 0.2500 0.7500 0.5000
Cd 0.7500 0.2500 0.5000
In 0.2500 0.2500 0.0000
In 0.7500 0.7500 0.0000
Ag 0.0000 0.0000 0.0000
Ag 0.0720 0.1690 0.5000
Ag 0.1690 0.6690 0.0970
Ag 0.3310 0.4280 0.5000
Ag 0.4280 0.9280 0.0970
Ag 0.5000 0.5000 0.0000
Ag 0.5720 0.0720 0.9030
Ag 0.6690 0.5720 0.5000
Ag 0.8310 0.3310 0.9030
Ag 0.9280 0.8310 0.5000